Entry from the Alexandria database: an optimized crystal structure of Er6Al2Os (PBE-GGA).

Properties
The value obtained for the formation energy is -0.11 eV/atom. The volume comes out at 254.46 Å³/cell. Its crystal system is orthorhombic. For the density of states at the Fermi level, the calculation gives 8.4 states/eV/cell.

a = 4.970 Å, b = 7.025 Å, c = 8.463 Å
α = 114.52°, β = 107.06°, γ = 90.00°
Fractional coordinates of all 9 atoms:
Er1 0.157 0.400 0.314
Er2 0.843 0.086 0.686
Er3 0.843 0.600 0.686
Er4 0.500 0.232 0.000
Er5 0.157 0.914 0.314
Er6 0.500 0.768 0.000
Al1 0.667 0.667 0.335
Al2 0.333 0.333 0.665
Os1 0.000 0.000 0.000